A plane-wave DFT calculation with GGA-PBE was carried out for a relaxed NbV2Tc crystal.

Computed properties:
As for the space group: I-42d. Its energy relative to the elements is 166 kJ/mol of formula units.

Cell lengths 6.915, 6.915, 5.572 Å; angles 51.64, 51.64, 90.00 degrees
Element x y z (fractional)
V 0.648 0.125 0.250
V 0.375 0.352 0.750
V 0.102 0.625 0.250
V 0.875 0.898 0.750
Nb 0.250 0.750 0.500
Nb 0.500 0.500 0.000
Tc 0.000 0.000 0.000
Tc 0.750 0.250 0.500